Record 1
An optimized crystal structure of P3IrC. Source: Alexandria, functional PBE.

Computed properties:
The polymorph energy (0 for the lowest one) comes out at 1054 meV per atom. Its formation energy is 2.00 eV/atom.

abc: 4.580 4.580 4.580
angles: 90.00 90.00 90.00
Space group Pm-3m (No. 221)
Asymmetric unit:
P 0.000 0.000 0.500 [3 per cell]
Ir 0.000 0.000 0.000 [1 per cell]
C 0.500 0.500 0.500 [1 per cell]

Record 2
An optimized crystal structure of ErThMgSn. Source: Alexandria, functional PBE.

Computed properties:
Its formation energy is -0.25 eV/atom.

abc: 7.598 7.598 7.598
angles: 90.00 90.00 90.00
Space group F-43m (No. 216)
Asymmetric unit:
Er 0.000 0.000 0.000 [4 per cell]
Th 0.000 0.000 0.500 [4 per cell]
Mg 0.250 0.250 0.750 [4 per cell]
Sn 0.250 0.250 0.250 [4 per cell]

Record 3
An optimized crystal structure of TaNbH. Source: Alexandria, functional PBE.

Computed properties:
The polymorph energy (0 for the lowest one) comes out at 517 meV per atom.

abc: 2.754 2.754 10.984
angles: 90.00 90.00 90.00
Space group I4mm (No. 107)
Asymmetric unit:
Ta 0.000 0.000 0.000 [2 per cell]
Nb 0.000 0.000 0.275 [2 per cell]
H 0.000 0.000 0.555 [2 per cell]

DFT total energy / eV/atom: -4.87; -4.64; -8.08